# 1
# BeCr2Mo GGA-PBE optimized geometry
data_BeCr2Mo
_chemical_formula_sum 'Be2 Cr4 Mo2'
_cell_length_a 3.0846
_cell_length_b 4.0496
_cell_length_c 7.7164
_cell_angle_alpha 90.00
_cell_angle_beta 90.00
_cell_angle_gamma 90.00
_space_group_name_H-M_alt 'C m m m'
_space_group_IT_number 65
_space_group_name_Hall '-C 2 2'
loop_
_atom_site_label
_atom_site_type_symbol
_atom_site_fract_x
_atom_site_fract_y
_atom_site_fract_z
Be1 Be 0.0000 0.0000 0.0000
Cr1 Cr 0.0000 0.5000 0.2204
Mo1 Mo 0.0000 0.0000 0.5000
# energy of formation	0.148	eV/atom

# 2
# Ba2LaPaP4 GGA-PBE optimized geometry
data_Ba2LaPaP4
_chemical_formula_sum 'Ba2 La1 Pa1 P4'
_cell_length_a 7.4755
_cell_length_b 4.3241
_cell_length_c 7.7328
_cell_angle_alpha 90.00
_cell_angle_beta 108.78
_cell_angle_gamma 90.00
_space_group_name_H-M_alt 'P 1 2/m 1'
_space_group_IT_number 10
loop_
_space_group_symop_operation_xyz
'x,y,z'
'-x,-y,-z'
'-x,y,-z'
'x,-y,z'
loop_
_atom_site_label
_atom_site_type_symbol
_atom_site_fract_x
_atom_site_fract_y
_atom_site_fract_z
Ba1 Ba 0.0000 0.0000 0.0000
Ba2 Ba 0.5000 0.5000 0.0000
La1 La 0.0000 0.5000 0.5000
Pa1 Pa 0.5000 0.0000 0.5000
P1 P 0.2581 0.0000 0.7070
P2 P 0.2831 0.5000 0.2986
# energy of formation	-1.241	eV/atom

# 3
# TlCo2As GGA-PBE optimized geometry
data_TlCo2As
_chemical_formula_sum 'Tl2 Co4 As2'
_cell_length_a 3.6256
_cell_length_b 4.9976
_cell_length_c 6.9511
_cell_angle_alpha 90.00
_cell_angle_beta 90.00
_cell_angle_gamma 90.00
_space_group_name_H-M_alt 'I m m m'
_space_group_IT_number 71
_space_group_name_Hall '-I 2 2'
loop_
_atom_site_label
_atom_site_type_symbol
_atom_site_fract_x
_atom_site_fract_y
_atom_site_fract_z
Tl1 Tl 0.0000 0.0000 0.0000
Co1 Co 0.0000 0.5000 0.2001
As1 As 0.0000 0.0000 0.5000
# energy of formation	0.389	eV/atom
# energy above the most stable polymorph in this dataset	0.92	eV/f.u.

# 4
# PuNiSn GGA-PBE optimized geometry
data_PuNiSn
_chemical_formula_sum 'Pu1 Ni1 Sn1'
_cell_length_a 4.5305
_cell_length_b 4.5305
_cell_length_c 3.6145
_cell_angle_alpha 90.00
_cell_angle_beta 90.00
_cell_angle_gamma 120.00
_space_group_name_H-M_alt 'P -6 m 2'
_space_group_IT_number 187
_space_group_name_Hall 'P -6 2'
loop_
_atom_site_label
_atom_site_type_symbol
_atom_site_fract_x
_atom_site_fract_y
_atom_site_fract_z
Pu1 Pu 0.0000 0.0000 0.0000
Ni1 Ni 0.6667 0.3333 0.5000
Sn1 Sn 0.3333 0.6667 0.5000
# energy of formation	-0.257	eV/atom

# 5
# PmAuO2 GGA-PBE optimized geometry
data_PmAuO2
_chemical_formula_sum 'Pm3 Au3 O6'
_cell_length_a 3.7464
_cell_length_b 3.7464
_cell_length_c 18.2330
_cell_angle_alpha 90.00
_cell_angle_beta 90.00
_cell_angle_gamma 120.00
_space_group_name_H-M_alt 'P 32 2 1'
_space_group_IT_number 154
loop_
_space_group_symop_operation_xyz
'x,y,z'
'-y,x-y,z+2/3'
'-x+y,-x,z+1/3'
'y,x,-z'
'x-y,-y,-z+1/3'
'-x,-x+y,-z+2/3'
loop_
_atom_site_label
_atom_site_type_symbol
_atom_site_fract_x
_atom_site_fract_y
_atom_site_fract_z
Pm1 Pm 0.0000 0.6708 0.3333
Au1 Au 0.0000 0.6646 0.8333
O1 O 0.0042 0.6667 0.7215
# formation energy from raw total energies	-2148	meV/atom

# 6
# CaCeC GGA-PBE optimized geometry
data_CaCeC
_chemical_formula_sum 'Ca2 Ce2 C2'
_cell_length_a 3.6032
_cell_length_b 3.6032
_cell_length_c 12.9333
_cell_angle_alpha 90.00
_cell_angle_beta 90.00
_cell_angle_gamma 120.00
_space_group_name_H-M_alt 'P -3 m 1'
_space_group_IT_number 164
_space_group_name_Hall '-P 3 2"'
loop_
_atom_site_label
_atom_site_type_symbol
_atom_site_fract_x
_atom_site_fract_y
_atom_site_fract_z
Ca1 Ca 0.3333 0.6667 0.1312
Ce1 Ce 0.3333 0.6667 0.3574
C1 C 0.3333 0.6667 0.7353
# energy of formation	0.159	eV/atom
# energy above the most stable polymorph in this dataset	0.52	eV/f.u.

| no. | magnetization (μB per cell) |
| --- | --- |
| 1 | 0.00 |
| 2 | 0.00 |
| 3 | 0.01 |
| 4 | 5.04 |
| 5 | 0.00 |
| 6 | 1.20 |